Entry 1:
A plane-wave DFT calculation with GGA-PBE was carried out for CeSeI3 after structural relaxation.

ΔE_f (raw) ... -5.3 eV/f.u.
Total DFT energy (no corrections) ... -3.868 eV/atom

POSCAR file:
```
CeSeI3
1.0
8.1679 -0.0631 -0.3182
-2.2954 7.8389 0.3182
-3.5245 -3.4436 6.0716
Ce Se I
2 2 6
Cartesian
2.1126 4.5099 2.2914 Ce
0.2353 -0.1777 3.7802 Ce
2.6385 -1.9927 3.9805 Se
-0.2906 6.3249 2.0912 Se
6.0380 -0.7422 1.2568 I
0.0704 2.2344 1.5749 I
2.2775 2.0978 4.4967 I
4.3077 2.8522 0.8729 I
-3.6901 5.0744 4.8149 I
-1.9598 1.4801 5.1988 I
```

***

Entry 2:
A plane-wave DFT calculation with GGA-PBE was carried out for CeSeI2 after structural relaxation.

ΔE_f (raw) ... -4.9 eV/f.u.
Total DFT energy (no corrections) ... -4.342 eV/atom

POSCAR file:
```
CeSeI2
1.0
4.1038 0.0000 0.0000
-2.0519 4.7557 -1.4237
0.0000 -0.3993 8.5596
Ce Se I
1 1 2
Cartesian
2.0519 2.0937 2.5382 Ce
0.0000 4.0242 1.9607 Se
0.0000 0.7343 0.5316 I
0.0000 2.0602 4.9615 I
```

***

Entry 3:
A plane-wave DFT calculation with GGA-PBE was carried out for Ce4Se3I after structural relaxation.

ΔE_f (raw) ... -11.9 eV/f.u.
Total DFT energy (no corrections) ... -5.955 eV/atom

POSCAR file:
```
Ce4Se3I
1.0
-2.2127 -3.3402 -0.8921
1.7056 0.4009 3.7120
-12.6844 7.0494 5.0668
I Se Ce
1 3 4
Cartesian
0.0000 0.0000 0.0000 I
-6.3422 3.5247 2.5334 Se
-3.3359 1.8539 1.3325 Se
-9.3485 5.1954 3.7343 Se
-10.3714 5.1398 6.4798 Ce
-4.4260 1.8356 4.1049 Ce
-2.8201 -1.0297 1.4070 Ce
-8.7655 2.2744 3.7819 Ce
```

***

Entry 4:
A plane-wave DFT calculation with GGA-PBE was carried out for Ce4SiI5 after structural relaxation.

ΔE_f (raw) ... -11.0 eV/f.u.
Total DFT energy (no corrections) ... -4.796 eV/atom

POSCAR file:
```
Ce4SiI5
1.0
-7.1434 4.0183 -5.5839
-6.1956 0.4424 -7.7312
-7.4700 -3.9704 3.3148
I Si Ce
5 1 4
Cartesian
-10.3288 2.2642 -8.3289 I
-10.4802 -1.7739 -1.6714 I
-13.8321 0.3560 -6.6975 I
-6.9769 0.1343 -3.3028 I
-3.7350 -1.9852 1.6574 I
0.0000 0.0000 0.0000 Si
-11.8528 3.4952 -11.0513 Ce
-8.9561 -3.0048 1.0510 Ce
-8.2935 1.3753 -5.9504 Ce
-12.5154 -0.8850 -4.0499 Ce
```